Computed, not measured: MnTcPPdCl after structural relaxation at the PBE level of DFT.

Cell lengths 3.7890, 3.7890, 7.1828 Å; angles 90.00, 90.00, 120.00 degrees
Each line ends with the local moment (μB).
Sites, in units of the cell vectors:
Mn 0.6667 0.3333 0.1652  3.21
Tc 0.0000 0.0000 0.9243  0.11
P 0.3333 0.6667 0.0296  -0.04
Pd 0.3333 0.6667 0.3627  0.09
Cl 0.0000 0.0000 0.5897  -0.01

Values from the calculation:
ΔE_f (raw) (eV per atom): -0.221
Symmetry: No. 156
Relative energy among the computed polymorphs (meV/atom): 0

---

Computed, not measured: Tb2Pm6ErMg after structural relaxation at the PBE level of DFT.

Cell lengths 9.5206, 8.8239, 8.8239 Å; angles 116.79, 93.82, 93.82 degrees
Sites, in units of the cell vectors:
Tb 0.4501 0.7981 0.6980
Tb 0.0499 0.3020 0.2019
Tb 0.5499 0.2019 0.3020
Tb 0.9501 0.6980 0.7981
Pm 0.0513 0.1261 0.7649
Pm 0.4487 0.2351 0.8739
Pm 0.9487 0.8739 0.2351
Pm 0.5513 0.7649 0.1261
Pm 0.3055 0.9987 0.4326
Pm 0.1945 0.5674 0.0013
Pm 0.6945 0.0013 0.5674
Pm 0.8055 0.4326 0.9987
Pm 0.1119 0.7083 0.5004
Pm 0.3881 0.4996 0.2917
Pm 0.8881 0.2917 0.4996
Pm 0.6119 0.5004 0.7083
Er 0.2500 0.9783 0.0217
Er 0.7500 0.0217 0.9783
Mg 0.2500 0.4108 0.5892
Mg 0.7500 0.5892 0.4108

Values from the calculation:
Formation energy from the elements (meV/atom): 116
Symmetry: No. 15

---

Electronic total energy / eV/atom: -6.6183 -4.2758